[1]
Entry from the Alexandria database: a relaxed structure of TiAg3F7 (PBE-GGA).

```
TiAg3F7
1.0
-1.263 3.679 3.707
-2.766 -3.511 2.984
4.242 -1.196 3.075
F Ag Ti
7 3 1
direct
0.721 0.165 0.165
0.717 0.717 0.071
0.071 0.717 0.717
0.165 0.165 0.721
0.165 0.721 0.165
0.717 0.071 0.717
0.167 0.167 0.167
0.452 0.452 0.872
0.452 0.872 0.452
0.872 0.452 0.452
0.970 0.970 0.970
```

For the raw total energy, the calculation gives -52.2 eV per formula unit. For the density of states at the Fermi level, the calculation gives 0.0 states/eV/cell. The crystal system is trigonal. For the size of the total moment, the calculation gives 0.00 μB per formula unit. Its symmetry is No. 160. The density is 5.42 g/cm³. The value obtained for the volume is 14.0 A^3/atom.

---

[2]
Entry from the Alexandria database: a relaxed structure of Li2IrW (PBE-GGA).

```
Li2IrW
1.0
6.838 0.000 0.000
0.000 6.838 0.000
3.419 3.419 2.490
Li W Ir
4 2 2
direct
0.107 0.625 0.250
0.643 0.125 0.250
0.375 0.357 0.750
0.875 0.893 0.750
0.250 0.750 0.500
0.500 0.500 0.000
0.000 0.000 0.000
0.750 0.250 0.500
```

For the raw total energy, the calculation gives -22.3 eV per formula unit. For the density of states at the Fermi level, the calculation gives 9.7 states/eV/cell. The crystal system is tetragonal. For the size of the total moment, the calculation gives 0.71 μB per formula unit. Its symmetry is No. 122. The density is 11.12 g/cm³. The formation energy comes out at 0.84 eV per atom. The value obtained for the volume is 14.6 A^3/atom.

---

[3]
Entry from the Alexandria database: a relaxed structure of Mg2Zn2In (PBE-GGA).

```
Mg2Zn2In
1.0
-3.544 -3.621 4.823
-4.051 -2.715 -5.014
2.635 -3.146 -0.426
In Mg Zn
2 4 4
direct
0.000 0.000 0.000
0.500 0.500 0.000
0.667 0.833 0.500
0.167 0.667 0.500
0.333 0.167 0.500
0.833 0.333 0.500
0.627 0.127 0.000
0.127 0.373 0.000
0.873 0.627 0.000
0.373 0.873 0.000
```

For the raw total energy, the calculation gives -8.7 eV per formula unit. For the density of states at the Fermi level, the calculation gives 3.5 states/eV/cell. The crystal system is tetragonal. For the size of the total moment, the calculation gives 0.00 μB per formula unit. Its symmetry is No. 127. The density is 4.84 g/cm³. The formation energy comes out at -0.05 eV per atom. The value obtained for the volume is 20.2 A^3/atom.

---

[4]
Entry from the Alexandria database: a relaxed structure of LaPuGa2 (PBE-GGA).

```
LaPuGa2
1.0
-4.870 -1.135 1.461
-2.208 -4.461 -1.537
-0.864 -3.804 3.453
Ga La Pu
2 1 1
direct
0.250 0.250 0.250
0.750 0.750 0.750
0.500 0.500 0.500
0.000 0.000 0.000
```

For the raw total energy, the calculation gives -26.8 eV per formula unit. For the density of states at the Fermi level, the calculation gives 8.9 states/eV/cell. The crystal system is cubic. For the size of the total moment, the calculation gives 5.72 μB per formula unit. Its symmetry is No. 225. The density is 8.68 g/cm³. The formation energy comes out at -0.37 eV per atom. The value obtained for the volume is 25.0 A^3/atom.

---

[5]
Entry from the Alexandria database: a relaxed structure of ScHgH3 (PBE-GGA).

```
ScHgH3
1.0
3.907 0.000 0.000
0.000 3.907 0.000
0.000 0.000 3.907
H Hg Sc
3 1 1
direct
0.000 0.000 0.500
0.500 0.000 0.000
0.000 0.500 0.000
0.500 0.500 0.500
0.000 0.000 0.000
```

For the raw total energy, the calculation gives -17.3 eV per formula unit. For the density of states at the Fermi level, the calculation gives 0.7 states/eV/cell. The crystal system is cubic. For the size of the total moment, the calculation gives 0.00 μB per formula unit. Its symmetry is No. 221. The density is 6.92 g/cm³. The value obtained for the volume is 11.9 A^3/atom.

---

[6]
Entry from the Alexandria database: a relaxed structure of Nd3HgOs (PBE-GGA).

```
Nd3HgOs
1.0
5.970 0.062 -1.220
-2.772 5.288 -1.219
-0.084 -0.140 8.767
Os Nd Hg
2 6 2
direct
0.750 0.750 0.000
0.250 0.250 0.000
0.301 0.801 0.102
0.300 0.419 0.719
0.699 0.199 0.898
0.081 0.200 0.281
0.700 0.581 0.281
0.919 0.800 0.719
0.289 0.789 0.500
0.711 0.211 0.500
```

For the raw total energy, the calculation gives -27.1 eV per formula unit. For the density of states at the Fermi level, the calculation gives 7.2 states/eV/cell. The crystal system is orthorhombic. For the size of the total moment, the calculation gives 0.00 μB per formula unit. Its symmetry is No. 69. The density is 9.90 g/cm³. The formation energy comes out at -0.25 eV per atom. The value obtained for the volume is 27.6 A^3/atom.

---

[7]
Entry from the Alexandria database: a relaxed structure of BeHgSb (PBE-GGA).

```
BeHgSb
1.0
-5.715 -1.842 -3.555
-5.395 -3.926 -1.142
-2.336 2.017 0.862
Sb Be Hg
1 1 1
direct
0.635 0.635 0.365
0.999 0.999 0.001
0.367 0.367 0.633
```

For the raw total energy, the calculation gives -6.8 eV per formula unit. For the density of states at the Fermi level, the calculation gives 1.3 states/eV/cell. The crystal system is orthorhombic. For the size of the total moment, the calculation gives 0.00 μB per formula unit. Its symmetry is No. 42. The density is 8.60 g/cm³. The value obtained for the volume is 21.3 A^3/atom.

---

[8]
Entry from the Alexandria database: a relaxed structure of LaSnRh (PBE-GGA).

```
LaSnRh
1.0
-0.939 -2.473 3.572
7.214 -2.131 0.420
2.530 9.820 7.462
Sn La Rh
6 6 6
direct
0.750 0.630 0.793
0.750 0.149 0.545
0.250 0.851 0.455
0.250 0.370 0.207
0.750 0.008 0.913
0.250 0.992 0.087
0.250 0.959 0.710
0.250 0.350 0.919
0.750 0.537 0.377
0.750 0.650 0.081
0.750 0.041 0.290
0.250 0.463 0.623
0.750 0.765 0.575
0.250 0.771 0.905
0.750 0.262 0.757
0.750 0.229 0.095
0.250 0.235 0.425
0.250 0.738 0.243
```

For the raw total energy, the calculation gives -18.9 eV per formula unit. For the density of states at the Fermi level, the calculation gives 10.0 states/eV/cell. The crystal system is monoclinic. For the size of the total moment, the calculation gives 0.00 μB per formula unit. Its symmetry is No. 11. The density is 8.52 g/cm³. The formation energy comes out at -0.86 eV per atom. The value obtained for the volume is 23.4 A^3/atom.

---

[9]
Entry from the Alexandria database: a relaxed structure of Ba2NaSn4Pd3 (PBE-GGA).

```
Ba2NaSn4Pd3
1.0
-1.327 -4.094 -2.202
2.472 -2.560 3.272
-9.155 -0.531 6.504
Sn Ba Pd Na
4 2 3 1
direct
0.000 0.500 0.361
0.500 0.500 0.000
0.500 0.000 0.639
0.000 0.000 0.000
0.500 0.000 0.247
0.000 0.500 0.753
0.000 0.000 0.500
0.000 0.500 0.120
0.500 0.000 0.880
0.500 0.500 0.500
```

For the raw total energy, the calculation gives -42.3 eV per formula unit. For the density of states at the Fermi level, the calculation gives 6.8 states/eV/cell. The crystal system is tetragonal. For the size of the total moment, the calculation gives 0.00 μB per formula unit. Its symmetry is No. 115. The density is 6.90 g/cm³. The formation energy comes out at -0.56 eV per atom. The value obtained for the volume is 26.3 A^3/atom.

---

[10]
Entry from the Alexandria database: a relaxed structure of CdInAgI4 (PBE-GGA).

```
CdInAgI4
1.0
-4.220 -0.033 -5.678
2.712 -9.105 -1.962
-5.840 -3.072 6.184
I In Cd Ag
8 2 2 2
direct
0.968 0.968 0.260
0.525 0.750 0.563
0.596 0.250 0.966
0.404 0.750 0.034
0.475 0.250 0.437
0.032 0.032 0.740
0.968 0.532 0.260
0.032 0.468 0.740
0.124 0.250 0.053
0.876 0.750 0.947
0.757 0.250 0.691
0.243 0.750 0.309
0.697 0.750 0.303
0.303 0.250 0.697
```

For the raw total energy, the calculation gives -15.7 eV per formula unit. For the density of states at the Fermi level, the calculation gives 0.0 states/eV/cell. The crystal system is monoclinic. For the size of the total moment, the calculation gives 0.00 μB per formula unit. Its symmetry is No. 11. The density is 4.57 g/cm³. The value obtained for the volume is 43.7 A^3/atom.

---

[11]
Entry from the Alexandria database: a relaxed structure of ReSi2Pt (PBE-GGA).

```
ReSi2Pt
1.0
3.784 0.000 0.000
0.000 2.895 -0.001
0.000 0.003 5.310
Si Re Pt
2 1 1
direct
0.000 0.250 0.529
0.000 0.250 0.971
0.500 0.750 0.750
0.500 0.250 0.250
```

For the raw total energy, the calculation gives -29.8 eV per formula unit. For the density of states at the Fermi level, the calculation gives 2.0 states/eV/cell. The crystal system is orthorhombic. For the size of the total moment, the calculation gives 0.00 μB per formula unit. Its symmetry is No. 47. The density is 12.49 g/cm³. The value obtained for the volume is 14.5 A^3/atom.

---

[12]
Entry from the Alexandria database: a relaxed structure of KNiPd3 (PBE-GGA).

```
KNiPd3
1.0
4.938 0.000 0.000
0.000 4.938 0.000
0.000 0.000 4.938
K Ni Pd
1 1 3
direct
0.000 0.000 0.000
0.500 0.500 0.500
0.500 0.000 0.000
0.000 0.000 0.500
0.000 0.500 0.000
```

For the raw total energy, the calculation gives -13.6 eV per formula unit. For the density of states at the Fermi level, the calculation gives 5.5 states/eV/cell. The crystal system is cubic. For the size of the total moment, the calculation gives 0.92 μB per formula unit. Its symmetry is No. 221. The density is 5.75 g/cm³. The formation energy comes out at 1.77 eV per atom. The value obtained for the volume is 24.1 A^3/atom.